Record 1
VASP calculation (PBE-GGA) on an optimized crystal structure of Sm4BiI5.

Summary:
ρ (g/cm3): 6.41
Formation energy from raw total energies (eV per atom): -1.110

a = 18.9396 Å, b = 4.2630 Å, c = 9.4012 Å
α = 90.00°, β = 99.47°, γ = 90.00°
With the nearest neighbours (Å) after each atom.
Space group C2/m (No. 12)
One atom of each set of equivalent atoms:
Sm 0.0013 0.0000 0.2335 (multiplicity 4)  2 Bi 3.06, 4 I 3.13-3.29
Sm 0.1692 0.5000 0.0586 (multiplicity 4)  1 Bi 3.16, 5 I 3.17-3.24
Bi 0.0000 0.5000 0.0000 (multiplicity 2)  6 Sm 3.06-3.16
I 0.0000 0.5000 0.5000 (multiplicity 2)  4 Sm 3.29
I 0.1671 0.0000 0.7987 (multiplicity 4)  4 Sm 3.15-3.24
I 0.1681 0.0000 0.3162 (multiplicity 4)  3 Sm 3.13-3.23


Record 2
VASP calculation (PBE-GGA) on an optimized crystal structure of Sm2BiI.

Summary:
ρ (g/cm3): 7.92
Distance to the lowest polymorph of the same formula (meV/atom): 20
Formation energy from raw total energies (eV per atom): -0.822

a = 4.6344 Å, b = 4.6344 Å, c = 21.5271 Å
α = 90.00°, β = 90.00°, γ = 120.00°
With the nearest neighbours (Å) after each atom.
Space group R-3m (No. 166, hexagonal axes)
One atom of each set of equivalent atoms:
Sm 0.0000 0.0000 0.2415 (multiplicity 6)  3 Bi 3.12, 3 I 3.33
Bi 0.0000 0.0000 0.5000 (multiplicity 3)  6 Sm 3.12
I 0.0000 0.0000 0.0000 (multiplicity 3)  6 Sm 3.33


Record 3
VASP calculation (PBE-GGA) on an optimized crystal structure of SnBi2I.

Summary:
ρ (g/cm3): 6.04
Distance to the lowest polymorph of the same formula (meV/atom): 123
Formation energy from raw total energies (eV per atom): 0.224

a = 7.9033 Å, b = 7.9033 Å, c = 11.6748 Å
α = 90.00°, β = 90.00°, γ = 90.00°
With the nearest neighbours (Å) after each atom.
Space group I-42d (No. 122)
One atom of each set of equivalent atoms:
Sn 0.0000 0.0000 0.0000 (multiplicity 4)  4 Bi 2.99
Bi 0.2160 0.2500 0.1250 (multiplicity 8)  2 Sn 2.99, 2 I 3.33
I 0.0000 0.0000 0.5000 (multiplicity 4)  4 Bi 3.33


Record 4
VASP calculation (PBE-GGA) on an optimized crystal structure of Sn3BiI.

Summary:
ρ (g/cm3): 5.74
Distance to the lowest polymorph of the same formula (meV/atom): 176
Formation energy from raw total energies (eV per atom): 0.774

a = 5.8508 Å, b = 5.8508 Å, c = 5.8508 Å
α = 90.00°, β = 90.00°, γ = 90.00°
With the nearest neighbours (Å) after each atom.
Space group Pm-3m (No. 221)
One atom of each set of equivalent atoms:
Sn 0.0000 0.0000 0.5000 (multiplicity 3)  2 I 2.93
Bi 0.5000 0.5000 0.5000 (multiplicity 1)  12 Sn 4.14
I 0.0000 0.0000 0.0000 (multiplicity 1)  6 Sn 2.93


Record 5
VASP calculation (PBE-GGA) on an optimized crystal structure of SnBi3I.

Summary:
ρ (g/cm3): 7.14
Formation energy from raw total energies (eV per atom): 0.598

a = 5.8769 Å, b = 5.8769 Å, c = 5.8769 Å
α = 90.00°, β = 90.00°, γ = 90.00°
With the nearest neighbours (Å) after each atom.
Space group Pm-3m (No. 221)
One atom of each set of equivalent atoms:
Sn 0.0000 0.0000 0.0000 (multiplicity 1)  6 Bi 2.94
Bi 0.0000 0.0000 0.5000 (multiplicity 3)  2 Sn 2.94
I 0.5000 0.5000 0.5000 (multiplicity 1)  12 Bi 4.16


Record 6
VASP calculation (PBE-GGA) on an optimized crystal structure of Sn2Bi2I.

Summary:
ρ (g/cm3): 7.25
Distance to the lowest polymorph of the same formula (meV/atom): 0
Formation energy from raw total energies (eV per atom): -0.066

a = 4.8585 Å, b = 4.8585 Å, c = 15.1884 Å
α = 90.00°, β = 90.00°, γ = 90.00°
With the nearest neighbours (Å) after each atom.
Space group I4/mmm (No. 139)
One atom of each set of equivalent atoms:
Sn 0.0000 0.5000 0.2500 (multiplicity 4)  4 Bi 3.10, 4 Sn 3.44
Bi 0.0000 0.0000 0.1232 (multiplicity 4)  4 Sn 3.10
I 0.0000 0.0000 0.5000 (multiplicity 2)  8 Bi 3.91


Record 7
VASP calculation (PBE-GGA) on an optimized crystal structure of Sn3BiI.

Summary:
ρ (g/cm3): 5.25
Distance to the lowest polymorph of the same formula (meV/atom): 0
Formation energy from raw total energies (eV per atom): 0.598

a = 6.0253 Å, b = 6.0253 Å, c = 6.0253 Å
α = 90.00°, β = 90.00°, γ = 90.00°
With the nearest neighbours (Å) after each atom.
Space group Pm-3m (No. 221)
One atom of each set of equivalent atoms:
Sn 0.0000 0.0000 0.5000 (multiplicity 3)  2 Bi 3.01
Bi 0.0000 0.0000 0.0000 (multiplicity 1)  6 Sn 3.01
I 0.5000 0.5000 0.5000 (multiplicity 1)  12 Sn 4.26


Record 8
VASP calculation (PBE-GGA) on an optimized crystal structure of Sn2BiI.

Summary:
ρ (g/cm3): 6.63
Distance to the lowest polymorph of the same formula (meV/atom): 0
Formation energy from raw total energies (eV per atom): -0.076

a = 4.6519 Å, b = 4.6519 Å, c = 22.9695 Å
α = 90.00°, β = 90.00°, γ = 120.00°
With the nearest neighbours (Å) after each atom.
Space group R-3m (No. 166, hexagonal axes)
One atom of each set of equivalent atoms:
Sn 0.0000 0.0000 0.2391 (multiplicity 6)  3 Bi 3.16, 3 I 3.45
Bi 0.0000 0.0000 0.5000 (multiplicity 3)  6 Sn 3.16
I 0.0000 0.0000 0.0000 (multiplicity 3)  6 Sn 3.45


Record 9
VASP calculation (PBE-GGA) on an optimized crystal structure of Sn2Bi2I.

Summary:
ρ (g/cm3): 7.66
Distance to the lowest polymorph of the same formula (meV/atom): 138
Formation energy from raw total energies (eV per atom): 0.072

a = 9.2050 Å, b = 9.2050 Å, c = 4.0035 Å
α = 90.00°, β = 90.00°, γ = 90.00°
With the nearest neighbours (Å) after each atom.
Space group P4/mbm (No. 127)
One atom of each set of equivalent atoms:
Sn 0.1399 0.3601 0.0000 (multiplicity 4)  6 Bi 3.22-3.57
Bi 0.1334 0.6334 0.5000 (multiplicity 4)  6 Sn 3.22-3.57, 1 Bi 3.47, 2 I 3.59
I 0.0000 0.0000 0.5000 (multiplicity 2)  4 Bi 3.59, 2 I 4.00


Record 10
VASP calculation (PBE-GGA) on an optimized crystal structure of Sn2Bi2I.

Summary:
ρ (g/cm3): 8.01
Distance to the lowest polymorph of the same formula (meV/atom): 120
Formation energy from raw total energies (eV per atom): 0.054

a = 9.5759 Å, b = 9.5759 Å, c = 3.5380 Å
α = 90.00°, β = 90.00°, γ = 90.00°
With the nearest neighbours (Å) after each atom.
Space group P4/mbm (No. 127)
One atom of each set of equivalent atoms:
Sn 0.1558 0.3442 0.0000 (multiplicity 4)  6 Bi 3.30-3.35, 2 Sn 3.54, 2 I 3.62
Bi 0.1342 0.6342 0.5000 (multiplicity 4)  6 Sn 3.30-3.35, 3 Bi 3.54-3.64
I 0.0000 0.0000 0.0000 (multiplicity 2)  2 I 3.54, 4 Sn 3.62


Record 11
VASP calculation (PBE-GGA) on an optimized crystal structure of SnBiI3.

Summary:
ρ (g/cm3): 4.99
Distance to the lowest polymorph of the same formula (meV/atom): 43
Formation energy from raw total energies (eV per atom): 0.165

a = 6.1776 Å, b = 6.1776 Å, c = 6.1776 Å
α = 90.00°, β = 90.00°, γ = 90.00°
With the nearest neighbours (Å) after each atom.
Space group Pm-3m (No. 221)
One atom of each set of equivalent atoms:
Sn 0.0000 0.0000 0.0000 (multiplicity 1)  12 I 4.37
Bi 0.5000 0.5000 0.5000 (multiplicity 1)  6 I 3.09
I 0.0000 0.5000 0.5000 (multiplicity 3)  2 Bi 3.09


Record 12
VASP calculation (PBE-GGA) on an optimized crystal structure of SnBi2I.

Summary:
ρ (g/cm3): 8.94
Distance to the lowest polymorph of the same formula (meV/atom): 73
Formation energy from raw total energies (eV per atom): 0.174

a = 7.9011 Å, b = 7.9011 Å, c = 7.9011 Å
α = 90.00°, β = 90.00°, γ = 90.00°
With the nearest neighbours (Å) after each atom.
Space group Fm-3m (No. 225)
One atom of each set of equivalent atoms:
Sn 0.0000 0.0000 0.0000 (multiplicity 4)  8 Bi 3.42
Bi 0.2500 0.2500 0.2500 (multiplicity 8)  4 Sn 3.42, 4 I 3.42
I 0.0000 0.0000 0.5000 (multiplicity 4)  8 Bi 3.42


Record 13
VASP calculation (PBE-GGA) on an optimized crystal structure of SnBi2I.

Summary:
ρ (g/cm3): 8.53
Distance to the lowest polymorph of the same formula (meV/atom): 0
Formation energy from raw total energies (eV per atom): 0.100

a = 3.8114 Å, b = 3.8114 Å, c = 30.7911 Å
α = 90.00°, β = 90.00°, γ = 120.00°
With the nearest neighbours (Å) after each atom.
Space group R-3m (No. 166, hexagonal axes)
One atom of each set of equivalent atoms:
Sn 0.0000 0.0000 0.0000 (multiplicity 3)  6 Bi 3.27
Bi 0.0000 0.0000 0.2549 (multiplicity 6)  3 Sn 3.27, 3 I 3.50
I 0.0000 0.0000 0.5000 (multiplicity 3)  6 Bi 3.50, 6 I 3.81


D(E_F) across the listed records, respectively: 11.80 7.08 13.49 4.58 5.11 2.04 6.78 1.67 6.26 6.39 5.03 8.99 6.82 states/eV/cell.
M_tot across the listed records, respectively: 0.00 0.00 0.00 0.00 0.00 0.00 0.00 0.00 0.00 0.00 1.23 0.00 0.00 μB per formula unit.